First-principles (PBE-GGA) data for an optimized crystal structure of SrSc3Ag, as listed in Alexandria. Values from VASP.

The calculation puts the distance to the lowest polymorph of the same formula at 1.097 eV/atom. As for the electronic total energy: -0.123 hartree per atom. For the formation energy, the calculation gives 1362 meV/atom. As for the space group: Pm-3m, No. 221. As for the magnetization: 0.00 μB per cell.

Quantum ESPRESSO input file:
```
&SYSTEM
  ibrav = 0, nat = 5, ntyp = 3
/
ATOMIC_SPECIES
Sr 87.62 Sr.upf
Sc 44.96 Sc.upf
Ag 107.87 Ag.upf
CELL_PARAMETERS angstrom
5.1884 0.0000 0.0000
0.0000 5.1884 0.0000
0.0000 0.0000 5.1884
ATOMIC_POSITIONS angstrom
Sr 0.0000 0.0000 0.0000
Sc 0.0000 0.0000 2.5942
Sc 0.0000 2.5942 0.0000
Sc 2.5942 0.0000 0.0000
Ag 2.5942 2.5942 2.5942
```